1.
Material: Zr2PtRhN
Method: DFT, GGA-PBE
State: relaxed

Properties
Theoretical density   10.2 g cm⁻³
Raw formation energy   -0.768 eV/atom
Magnetic moment   0.000 μB per atom

Cell: 4.4137 4.4137 4.1242 Å, 90.00 90.00 90.00°
Fractional coordinates of all 5 atoms:
Zr: 0.0000 0.5000 0.0000
Zr: 0.5000 0.0000 0.0000
Pt: 0.0000 0.0000 0.5000
Rh: 0.5000 0.5000 0.5000
N: 0.0000 0.0000 0.0000

---

2.
Material: Ru2PtN2
Method: DFT, GGA-PBE
State: relaxed

Properties
Theoretical density   11.6 g cm⁻³
Raw formation energy   0.806 eV/atom
Magnetic moment   0.000 μB per atom
Energy relative to the lowest polymorph listed for this composition   0.00 eV per formula unit

Cell: 4.9918 4.9918 4.9918 Å, 135.08 135.08 65.40°
Fractional coordinates of all 5 atoms:
Ru: 0.2500 0.7500 0.5000
Ru: 0.7500 0.2500 0.5000
Pt: 0.0000 0.0000 0.0000
N: 0.3500 0.3500 0.0000
N: 0.6500 0.6500 0.0000

---

3.
Material: Ru2PtN2
Method: DFT, GGA-PBE
State: relaxed

Properties
Theoretical density   12.5 g cm⁻³
Raw formation energy   1.044 eV/atom
Magnetic moment   0.000 μB per atom
Energy relative to the lowest polymorph listed for this composition   1.19 eV per formula unit

Cell: 6.5412 6.5412 2.6496 Å, 90.00 90.00 90.00°
Fractional coordinates of all 10 atoms:
Ru: 0.1424 0.3576 0.0000
Ru: 0.3576 0.8576 0.0000
Ru: 0.6424 0.1424 0.0000
Ru: 0.8576 0.6424 0.0000
Pt: 0.0000 0.0000 0.5000
Pt: 0.5000 0.5000 0.5000
N: 0.1256 0.6256 0.5000
N: 0.3744 0.1256 0.5000
N: 0.6256 0.8744 0.5000
N: 0.8744 0.3744 0.5000

---

4.
Material: RuPt3N
Method: DFT, GGA-PBE
State: relaxed

Properties
Theoretical density   16.0 g cm⁻³
Raw formation energy   0.811 eV/atom
Magnetic moment   0.377 μB per atom
Energy relative to the lowest polymorph listed for this composition   0.00 eV per formula unit

Cell: 4.1692 4.1692 4.1692 Å, 90.00 90.00 90.00°
Fractional coordinates of all 5 atoms:
Ru: 0.0000 0.0000 0.0000
Pt: 0.0000 0.5000 0.5000
Pt: 0.5000 0.0000 0.5000
Pt: 0.5000 0.5000 0.0000
N: 0.5000 0.5000 0.5000